(1)
Here is a relaxed La2PmPrNd crystal from the Alexandria database. Energies are from PBE-GGA.

**Space-group type**: No. 11
**Volume**: 364.9 Å³/cell
**VASP energy**: -4.797 eV/atom
**M_tot**: 0.0000 μB per atom

The structure in POSCAR format:
```
La2PmPrNd
1.0
-3.9474 1.8299 4.1546
0.6825 -5.6451 3.1348
7.3253 0.7825 6.6153
La Pr Nd Pm
4 2 2 2
Direct
0.7500 0.7650 0.8019
0.2500 0.0379 0.5977
0.2500 0.2350 0.1981
0.7500 0.9621 0.4023
0.2500 0.6362 0.3975
0.7500 0.3638 0.6025
0.7500 0.1636 0.0017
0.2500 0.8364 0.9983
0.7500 0.5658 0.1995
0.2500 0.4342 0.8005
```

***

(2)
Here is a relaxed RbZrTl crystal from the Alexandria database. Energies are from PBE-GGA.

**Space-group type**: No. 62
**Distance to the lowest polymorph of the same formula**: 0.287 eV/atom
**Volume**: 366.9 Å³/cell
**M_tot**: 0.0000 μB per atom

The structure in POSCAR format:
```
RbZrTl
1.0
9.1893 0.0000 0.0000
0.0000 3.2708 0.0000
0.0000 0.0000 12.2077
Tl Rb Zr
4 4 4
Direct
0.6741 0.7500 0.2162
0.3259 0.2500 0.7837
0.8259 0.2500 0.7163
0.1741 0.7500 0.2838
0.6476 0.7500 0.9250
0.1476 0.7500 0.5750
0.8524 0.2500 0.4250
0.3524 0.2500 0.0750
0.9593 0.2500 0.1081
0.5407 0.7500 0.6081
0.0407 0.7500 0.8919
0.4593 0.2500 0.3919
```

***

(3)
Here is a relaxed NiTe2I crystal from the Alexandria database. Energies are from PBE-GGA.

**Space-group type**: No. 156
**Volume**: 112.4 Å³/cell
**VASP energy**: -3.554 eV/atom
**M_tot**: 0.0000 μB per atom

The structure in POSCAR format:
```
NiTe2I
1.0
3.4185 -1.9737 0.0000
0.0000 3.9474 0.0000
0.0000 0.0000 8.3302
I Te Ni
1 2 1
Direct
0.3333 0.6667 0.4529
0.3333 0.6667 0.8519
0.6667 0.3333 0.1533
0.0000 0.0000 0.9970
```

***

(4)
Here is a relaxed Ba2Al4SiAu3 crystal from the Alexandria database. Energies are from PBE-GGA.

**Space-group type**: No. 115
**Volume**: 228.7 Å³/cell
**VASP energy**: -3.921 eV/atom
**M_tot**: 0.0000 μB per atom

The structure in POSCAR format:
```
Ba2Al4SiAu3
1.0
-3.0234 3.1789 1.6183
-1.9347 0.3210 -4.2449
-6.7024 -7.6355 2.4773
Ba Au Al Si
2 3 4 1
Direct
0.0000 0.5000 0.7438
0.5000 0.0000 0.2562
0.5000 0.0000 0.8766
0.0000 0.0000 0.5000
0.0000 0.5000 0.1234
0.5000 0.5000 0.0000
0.0000 0.5000 0.3782
0.5000 0.0000 0.6218
0.0000 0.0000 0.0000
0.5000 0.5000 0.5000
```